Crystalline MnCdNiF6 at its relaxed geometry. Source: Alexandria, functional PBE+U.

a = 5.426 Å, b = 5.426 Å, c = 9.570 Å
α = 90.00°, β = 90.00°, γ = 120.00°
Sites, in units of the cell vectors:
F  0.985  0.340  0.135
F  0.015  0.660  0.865
F  0.015  0.355  0.635
F  0.985  0.645  0.365
Ni  0.667  0.333  0.250
F  0.645  0.985  0.865
Mn  0.333  0.667  0.250
F  0.660  0.015  0.365
F  0.340  0.985  0.635
Cd  0.000  0.000  0.500
F  0.355  0.340  0.365
Ni  0.333  0.667  0.750
Cd  0.000  0.000  0.000
F  0.660  0.645  0.135
F  0.340  0.355  0.865
Mn  0.667  0.333  0.750
F  0.355  0.015  0.135
F  0.645  0.660  0.635

Its crystal system is trigonal. The total energy is -4.81 eV/atom. The calculated volume is 13.6 A^3/atom. As for the magnetic moment: 14.00 μB per cell.